First-principles (PBE) data for crystalline Pr3Ni2P4Ru2 at its relaxed geometry, as listed in Alexandria via LeMat-Bulk.

a = 3.9502 Å, b = 3.9502 Å, c = 15.1146 Å
α = 90.00°, β = 90.00°, γ = 120.00°
Fractional positions:
P  0.6667  0.3333  0.5957
P  0.3333  0.6667  0.4043
P  0.6667  0.3333  0.1357
P  0.3333  0.6667  0.8643
Pr  0.0000  0.0000  0.0000
Pr  0.0000  0.0000  0.2739
Pr  0.0000  0.0000  0.7261
Ru  0.6667  0.3333  0.4398
Ru  0.3333  0.6667  0.5602
Ni  0.6667  0.3333  0.8600
Ni  0.3333  0.6667  0.1400

Values from the calculation:
Energy of formation ... -1.044 eV per atom
V ... 204 Å³/cell

=====

First-principles (PBE) data for crystalline PrSmNi2P2 at its relaxed geometry, as listed in Alexandria via LeMat-Bulk.

a = 3.9551 Å, b = 3.9551 Å, c = 8.1009 Å
α = 90.00°, β = 90.00°, γ = 120.00°
Fractional positions:
Pr  0.0000  0.0000  0.0000
Ni  0.6667  0.3333  0.2531
Ni  0.3333  0.6667  0.7469
Sm  0.0000  0.0000  0.5000
P  0.6667  0.3333  0.7434
P  0.3333  0.6667  0.2566

Values from the calculation:
Energy of formation ... -1.164 eV per atom
V ... 110 Å³/cell

=====

First-principles (PBE) data for crystalline PrNi4SnP2 at its relaxed geometry, as listed in Alexandria via LeMat-Bulk.

a = 3.9737 Å, b = 3.9737 Å, c = 7.9717 Å
α = 90.00°, β = 90.00°, γ = 90.00°
Fractional positions:
Ni  0.5000  0.0000  0.2096
Ni  0.5000  0.0000  0.7904
Ni  0.0000  0.5000  0.2096
Ni  0.0000  0.5000  0.7904
Pr  0.0000  0.0000  0.5000
P  0.5000  0.5000  0.3424
P  0.5000  0.5000  0.6576
Sn  0.0000  0.0000  0.0000

Values from the calculation:
Energy of formation ... -0.601 eV per atom
V ... 126 Å³/cell

=====

First-principles (PBE) data for crystalline PrThNi2P2 at its relaxed geometry, as listed in Alexandria via LeMat-Bulk.

a = 3.9822 Å, b = 3.9822 Å, c = 8.1205 Å
α = 90.00°, β = 90.00°, γ = 120.00°
Fractional positions:
Th  0.0000  0.0000  0.5000
Ni  0.6667  0.3333  0.7338
Ni  0.3333  0.6667  0.2662
P  0.6667  0.3333  0.2470
P  0.3333  0.6667  0.7530
Pr  0.0000  0.0000  0.0000

Values from the calculation:
Energy of formation ... -1.191 eV per atom
V ... 112 Å³/cell

=====

First-principles (PBE) data for crystalline PrTi2NiP4 at its relaxed geometry, as listed in Alexandria via LeMat-Bulk.

a = 3.7054 Å, b = 6.4405 Å, c = 12.3471 Å
α = 90.00°, β = 90.00°, γ = 106.72°
Fractional positions:
P  0.7399  0.4799  0.8911
P  0.0000  0.0000  0.5000
P  0.5575  0.1150  0.2500
P  0.4425  0.8850  0.7500
P  0.2601  0.5201  0.3911
P  0.0000  0.0000  0.0000
P  0.7399  0.4799  0.6089
P  0.2601  0.5201  0.1089
Ni  0.1501  0.3001  0.2500
Ni  0.8499  0.6999  0.7500
Ti  0.3727  0.7453  0.5599
Ti  0.6273  0.2547  0.0599
Ti  0.3727  0.7453  0.9401
Ti  0.6273  0.2547  0.4401
Pr  0.8808  0.7615  0.2500
Pr  0.1192  0.2385  0.7500

Values from the calculation:
Energy of formation ... -0.969 eV per atom
V ... 282 Å³/cell

=====

First-principles (PBE) data for crystalline PrTiNiP2 at its relaxed geometry, as listed in Alexandria via LeMat-Bulk.

a = 3.8735 Å, b = 3.8735 Å, c = 6.4860 Å
α = 107.37°, β = 107.37°, γ = 90.00°
Fractional positions:
Ti  0.7500  0.2500  0.5000
P  0.6316  0.6316  0.2633
P  0.3684  0.3684  0.7367
Pr  0.0000  0.0000  0.0000
Ni  0.2500  0.7500  0.5000

Values from the calculation:
Energy of formation ... -1.037 eV per atom
V ... 88 Å³/cell

=====

- V of number 6 (PrTiNiP2)?
  88 Å³/cell